[1]
Material: CuNi6Pt4
Method: DFT, PBE
State: optimized geometry

Structure (extended XYZ):
```
11
Lattice="5.495 -2.174 -4.051 -3.805 5.902 1.421 -1.402 2.174 6.681" Properties=species:S:1:pos:R:3 pbc="T T T"
Pt -2.400 3.723 1.061
Pt -0.972 1.508 4.186
Pt 0.257 2.179 1.427
Ni -0.848 3.763 3.054
Ni -3.707 5.750 4.034
Cu 0.000 0.000 0.000
Ni 0.845 1.864 -1.315
Ni -2.781 4.314 6.061
Ni 2.418 0.152 -0.997
Pt -1.802 6.568 5.478
Ni 2.046 0.000 1.315
```

Values from the calculation:
Space-group type: I-42m
E_form in eV per atom: 0.170
E in eV per atom: -5.5527
DOS(E_F) in states/eV per cell: 16.193

=====

[2]
Material: Ca2MgNiHg
Method: DFT, PBE
State: optimized geometry

Structure (extended XYZ):
```
5
Lattice="-1.132 -5.389 1.948 4.806 -0.772 0.657 -0.415 2.058 5.451" Properties=species:S:1:pos:R:3 pbc="T T T"
Ca -0.208 1.029 2.725
Hg 2.403 -0.386 0.329
Mg 0.000 0.000 0.000
Ca -0.566 -2.694 0.974
Ni 1.630 -2.051 4.028
```

Values from the calculation:
Space-group type: P4/mmm
E_form in eV per atom: 0.695
ΔE to the lowest computed polymorph in meV per atom: 839
E in eV per atom: -1.6412
DOS(E_F) in states/eV per cell: 5.897

=====

[3]
Material: ReBr2
Method: DFT, PBE
State: optimized geometry

Structure (extended XYZ):
```
6
Lattice="-12.933 4.964 -1.379 11.224 -7.635 3.089 0.308 1.568 2.757" Properties=species:S:1:pos:R:3 pbc="T T T"
Re 8.531 -4.934 4.616
Br 1.111 -1.064 3.243
Br -2.513 -0.039 1.223
Re -9.932 3.831 -0.149
Br 3.575 -3.213 2.349
Br -4.976 2.110 2.117
```

Values from the calculation:
Space-group type: Cmcm
ΔE to the lowest computed polymorph in meV per atom: 729
E in eV per atom: -4.5304
Formation energy from raw total energies in eV per atom: 0.734
DOS(E_F) in states/eV per cell: 4.843

=====

[4]
Material: PaH8Ir2Rh
Method: DFT, PBE
State: optimized geometry

Structure (extended XYZ):
```
12
Lattice="4.070 0.000 0.000 2.035 4.518 0.272 2.035 2.028 5.603" Properties=species:S:1:pos:R:3 pbc="T T T"
H 3.050 1.557 4.239
Pa 4.070 3.273 2.938
H 6.106 4.535 3.097
H 4.070 4.257 5.013
H 2.035 2.011 2.778
H 5.091 1.557 4.239
Ir 2.035 1.847 1.130
Ir 6.106 4.699 4.746
H 5.091 4.989 1.636
Rh 0.000 0.000 0.000
H 3.050 4.989 1.636
H 4.070 2.289 0.862
```

Values from the calculation:
Space-group type: C2/m
E in eV per atom: -5.1998
DOS(E_F) in states/eV per cell: 3.972